(1)
BC | PBE | relaxed

* crystal system: triclinic

Cell lengths 3.7584, 4.5072, 5.3875 Å; angles 101.82, 93.93, 111.87 degrees
Closest atoms and distances in Å follow each position.
Space group P1 (No. 1)
Unique sites:
B  0.0000  0.0000  0.0000  2 C 1.63-1.64, 2 B 1.82
B  0.0068  0.3936  0.5427  3 C 1.53-1.62
B  0.2898  0.0815  0.3098  3 C 1.59-1.64
B  0.5828  0.3602  0.9390  2 C 1.58-1.60
B  0.6064  0.7399  0.4446  4 C 1.62-1.76
B  0.9845  0.3926  0.1581  2 C 1.59-1.60
C  0.0277  0.0606  0.5413  1 C 1.50, 3 B 1.53-1.66
C  0.2542  0.0237  0.7659  2 C 1.50, 2 B 1.60-1.63
C  0.3290  0.7386  0.1664  1 C 1.55, 2 B 1.60-1.64
C  0.3513  0.7253  0.6989  2 C 1.50-1.52, 1 B 1.59
C  0.5633  0.7058  0.9429  2 C 1.52-1.55, 2 B 1.58-1.64
C  0.6740  0.4047  0.3420  4 B 1.59-1.62

(2)
B3C | PBE | relaxed

* crystal system: triclinic

Cell lengths 3.5286, 4.7090, 5.5214 Å; angles 68.26, 88.57, 78.56 degrees
Closest atoms and distances in Å follow each position.
Space group P1 (No. 1)
Unique sites:
B  0.0000  0.0000  0.0000  1 C 1.55, 2 B 1.69-1.72
B  0.0049  0.5205  0.5366  1 C 1.54, 1 B 1.69
B  0.0384  0.9753  0.3392  6 B 1.84-2.04
B  0.4422  0.9873  0.5378  1 C 1.54
B  0.4522  0.0746  0.1305  1 C 1.69, 2 B 1.85-1.86
B  0.6611  0.3082  0.7999  2 C 1.58-1.71, 2 B 1.71-1.72
B  0.6671  0.3422  0.3091  2 C 1.68, 1 B 1.81
B  0.7405  0.6646  0.7723  1 C 1.60, 2 B 1.71-1.75
B  0.8222  0.7094  0.2245  5 B 1.69-1.88, 1 C 1.69
C  0.0605  0.6865  0.9602  1 C 1.48, 2 B 1.55-1.60
C  0.4028  0.3000  0.5739  4 B 1.54-1.68
C  0.4378  0.4626  0.0139  1 C 1.48

no.,V (Å³ per atom),energy above the lowest structure with this stoichiometry (meV per atom)
1,6.82,185
2,6.95,202